Record 1
VASP calculation (PBE) on a relaxed La4Pr3Dy crystal.

Results
The size of the total moment comes out at 0.000 μB/atom. The polymorph energy (0 for the lowest one) comes out at 186 meV per atom. The value obtained for the total energy is -4.64 eV per atom. Its formation energy is 145 kJ/mol of formula units.

POSCAR file:
```
La4Pr3Dy
1.0
12.955 -1.777 0.000
12.955 1.777 0.000
-0.433 0.000 6.307
La Pr Dy
4 3 1
direct
0.105 0.105 0.229
0.280 0.280 0.756
0.720 0.720 0.244
0.895 0.895 0.771
0.000 0.000 0.500
0.144 0.144 0.740
0.856 0.856 0.260
0.500 0.500 0.000
```

Record 2
VASP calculation (PBE) on a relaxed La2Pr8Dy3 crystal.

Results
The size of the total moment comes out at 0.000 μB/atom. The polymorph energy (0 for the lowest one) comes out at 0 meV per atom. The value obtained for the total energy is -4.61 eV per atom. Its formation energy is 193 kJ/mol of formula units.

POSCAR file:
```
La2Pr8Dy3
1.0
6.783 -5.994 0.000
6.783 5.994 0.000
-2.525 0.000 5.684
La Pr Dy
2 8 3
direct
0.191 0.191 0.345
0.809 0.809 0.655
0.084 0.084 0.765
0.097 0.578 0.341
0.362 0.362 0.899
0.422 0.903 0.659
0.578 0.097 0.341
0.638 0.638 0.101
0.903 0.422 0.659
0.916 0.916 0.235
0.239 0.761 0.000
0.500 0.500 0.500
0.761 0.239 0.000
```

Record 3
VASP calculation (PBE) on a relaxed LaPr5Dy3 crystal.

Results
The size of the total moment comes out at 0.000 μB/atom. The polymorph energy (0 for the lowest one) comes out at 0 meV per atom. The value obtained for the total energy is -4.47 eV per atom. Its formation energy is 231 kJ/mol of formula units.

POSCAR file:
```
LaPr5Dy3
1.0
9.441 -3.298 0.000
9.441 3.298 0.000
-4.630 0.000 10.447
La Pr Dy
2 10 6
direct
0.141 0.859 0.750
0.859 0.141 0.250
0.005 0.657 0.136
0.136 0.528 0.791
0.343 0.995 0.364
0.399 0.601 0.250
0.472 0.864 0.709
0.528 0.136 0.291
0.601 0.399 0.750
0.657 0.005 0.636
0.864 0.472 0.209
0.995 0.343 0.864
0.000 0.000 0.000
0.000 0.000 0.500
0.138 0.539 0.486
0.461 0.862 0.014
0.539 0.138 0.986
0.862 0.461 0.514
```